No. 1
A plane-wave DFT calculation with PBE was carried out for crystalline La2PmTh at its relaxed geometry.

The value obtained for the total magnetization is 0.0 μB per formula unit. For the mass density, the calculation gives 7.7 g/cm3. The calculation puts the energy at -82.40 eV per cell. As for the crystal system: monoclinic. The formation energy comes out at 34.4 kJ/mol of atoms. The calculation puts the offset from the most stable computed form at 330 meV per atom.

The structure belongs to space group C2/c (No. 15); the cell edges are 9.215, 17.594 and 3.675 Å and the angles 90.00°, 107.74° and 90.00°. The distinct sites, in fractional coordinates, are La at (0.161, 0.081, 0.179), Pm at (0.000, 0.391, 0.250) and Th at (0.250, 0.250, 0.000).

No. 2
A plane-wave DFT calculation with PBE was carried out for crystalline Ni3As2 at its relaxed geometry.

The value obtained for the total magnetization is 0.0 μB per formula unit. For the mass density, the calculation gives 8.0 g/cm3. The calculation puts the energy at -112.15 eV per cell. As for the crystal system: orthorhombic. The formation energy comes out at -26.9 kJ/mol of atoms.

The structure belongs to space group Ibam (No. 72); the cell edges are 5.868, 9.799 and 4.719 Å and the angles 90.00°, 90.00° and 90.00°. The distinct sites, in fractional coordinates, are Ni at (0.000, 0.000, 0.250), Ni at (0.135, 0.396, 0.000) and As at (0.242, 0.151, 0.000).

No. 3
A plane-wave DFT calculation with PBE was carried out for crystalline Be5Co6Ge at its relaxed geometry.

The value obtained for the total magnetization is 0.5 μB per formula unit. For the mass density, the calculation gives 7.0 g/cm3. The calculation puts the energy at -139.45 eV per cell. As for the crystal system: orthorhombic. The formation energy comes out at -30.9 kJ/mol of atoms.

The structure belongs to space group Cmmm (No. 65); the cell edges are 3.742, 11.212 and 5.306 Å and the angles 90.00°, 90.00° and 90.00°. The distinct sites, in fractional coordinates, are Be at (0.000, 0.000, 0.000), Be at (0.000, 0.329, 0.500), Be at (0.000, 0.335, 0.000), Co at (0.000, 0.171, 0.243), Co at (0.000, 0.500, 0.239) and Ge at (0.000, 0.000, 0.500).

Please write out number 2 again, unchanged.
A plane-wave DFT calculation with PBE was carried out for crystalline Ni3As2 at its relaxed geometry.

The value obtained for the total magnetization is 0.0 μB per formula unit. For the mass density, the calculation gives 8.0 g/cm3. The calculation puts the energy at -112.15 eV per cell. As for the crystal system: orthorhombic. The formation energy comes out at -26.9 kJ/mol of atoms.

The structure belongs to space group Ibam (No. 72); the cell edges are 5.868, 9.799 and 4.719 Å and the angles 90.00°, 90.00° and 90.00°. The distinct sites, in fractional coordinates, are Ni at (0.000, 0.000, 0.250), Ni at (0.135, 0.396, 0.000) and As at (0.242, 0.151, 0.000).